# 1
DFT (PBE) results for a geometry-optimized CrFe2Pt structure.

Crystal system: monoclinic
E_form: -25 meV per atom

Geometry as POSCAR:
```
CrFe2Pt
1.0
4.5219 -0.0253 0.0433
3.7178 2.5741 0.0433
0.8652 0.2676 4.4590
Fe Cr Pt
2 1 1
Direct
0.2555 0.2555 0.2400 Fe
0.9979 0.9979 0.9955 Fe
0.7453 0.7453 0.7706 Cr
0.5012 0.5012 0.4939 Pt
```


# 2
DFT (PBE) results for a geometry-optimized Cr2FePt8 structure.

Crystal system: orthorhombic
E_form: -139 meV per atom

Geometry as POSCAR:
```
Cr2FePt8
1.0
-2.5351 -1.4078 -2.8134
0.9641 -6.7293 2.4986
-3.6442 4.7832 3.7913
Pt Cr Fe
8 2 1
Direct
0.6608 0.8885 0.3216 Pt
0.6608 0.4330 0.3216 Pt
0.8539 0.8539 0.7078 Pt
0.3392 0.1115 0.6784 Pt
0.0000 0.6915 0.0000 Pt
0.0000 0.3085 0.0000 Pt
0.1461 0.1461 0.2922 Pt
0.3392 0.5670 0.6784 Pt
0.8116 0.3116 0.6233 Cr
0.1884 0.6884 0.3767 Cr
0.5000 0.0000 0.0000 Fe
```


# 3
DFT (PBE) results for a geometry-optimized CrFe2Pt2 structure.

Crystal system: tetragonal
E_form: 437 meV per atom

Geometry as POSCAR:
```
CrFe2Pt2
1.0
-1.9291 1.9291 5.1239
1.9291 -1.9291 5.1239
1.9291 1.9291 -5.1239
Cr Pt Fe
1 2 2
Direct
0.0000 0.0000 0.0000 Cr
0.2500 0.7500 0.5000 Pt
0.7500 0.2500 0.5000 Pt
0.4042 0.4042 0.0000 Fe
0.5958 0.5958 0.0000 Fe
```


# 4
DFT (PBE) results for a geometry-optimized CrFe2Pt8 structure.

Crystal system: monoclinic
E_form: -195 meV per atom

Geometry as POSCAR:
```
CrFe2Pt8
1.0
3.7782 0.0000 -1.0861
-0.6021 5.8102 -2.0944
0.0412 0.5416 7.2580
Fe Pt Cr
2 8 1
Direct
0.2254 0.6422 0.4508 Fe
0.7746 0.3578 0.5492 Fe
0.8601 0.8087 0.7203 Pt
0.5979 0.4512 0.1957 Pt
0.1399 0.1913 0.2797 Pt
0.6812 0.9158 0.3624 Pt
0.3188 0.0842 0.6376 Pt
0.9538 0.2712 0.9076 Pt
0.4021 0.5488 0.8043 Pt
0.0462 0.7288 0.0924 Pt
0.5000 0.0000 0.0000 Cr
```


# 5
DFT (PBE) results for a geometry-optimized CrFe2Pt structure.

Crystal system: orthorhombic
E_form: -30 meV per atom

Geometry as POSCAR:
```
CrFe2Pt
1.0
4.5275 -0.0510 0.0000
-1.4496 4.2895 0.0000
0.0000 0.0000 2.7008
Cr Pt Fe
1 1 2
Direct
0.0000 0.5000 0.5000 Cr
0.5000 0.0000 0.5000 Pt
0.5000 0.5000 0.0000 Fe
0.0000 0.0000 0.0000 Fe
```


# 6
DFT (PBE) results for a geometry-optimized CrFePt4 structure.

Crystal system: cubic
E_form: 189 meV per atom

Geometry as POSCAR:
```
CrFePt4
1.0
4.7991 -1.8590 0.9246
0.6017 -4.6197 2.3745
1.7745 -4.1139 -2.6961
Pt Cr Fe
4 1 1
Direct
0.6249 0.1252 0.6249 Pt
0.6249 0.6249 0.1252 Pt
0.1252 0.6249 0.6249 Pt
0.6249 0.6249 0.6249 Pt
0.2500 0.2500 0.2500 Cr
0.0000 0.0000 0.0000 Fe
```